1.
Here is a geometry-optimized BaLi2OsO6 structure from Alexandria. Energies are from PBE.

- DFT total energy (eV for the cell shown) = -63.34
- ρ (g/cm³) = 5.35

a b c (Å): 6.041 6.041 5.271
angles (deg): 115.37 115.37 53.58
Fractional coordinates of all 10 atoms:
Ba: 0.000 0.000 0.000
Li: 0.272 0.272 0.876
Li: 0.728 0.728 0.124
Os: 0.500 0.500 0.500
O: 0.137 0.619 0.250
O: 0.381 0.863 0.750
O: 0.398 0.398 0.703
O: 0.602 0.602 0.297
O: 0.619 0.137 0.250
O: 0.863 0.381 0.750


2.
Here is a geometry-optimized BaLiP2O6 structure from Alexandria. Energies are from PBE.

- Fermi-level density of states (states/eV/cell) = 4.3
- DFT total energy (eV for the cell shown) = -65.95
- ρ (g/cm³) = 3.34

a b c (Å): 6.605 6.605 6.605
angles (deg): 48.95 48.95 48.95
Fractional coordinates of all 10 atoms:
Ba: 0.000 0.000 0.000
Li: 0.500 0.500 0.500
P: 0.225 0.225 0.225
P: 0.775 0.775 0.775
O: 0.059 0.525 0.691
O: 0.309 0.941 0.475
O: 0.475 0.309 0.941
O: 0.525 0.691 0.059
O: 0.691 0.059 0.525
O: 0.941 0.475 0.309


3.
Here is a geometry-optimized BaLi2PO structure from Alexandria. Energies are from PBE.

- Fermi-level density of states (states/eV/cell) = 4.1
- DFT total energy (eV for the cell shown) = -19.26
- ρ (g/cm³) = 3.10

a b c (Å): 4.335 4.335 5.655
angles (deg): 90.00 90.00 90.00
Fractional coordinates of all 5 atoms:
Ba: 0.000 0.000 0.000
Li: 0.000 0.500 0.500
Li: 0.500 0.000 0.500
P: 0.500 0.500 0.000
O: 0.500 0.500 0.500


Copy entry 3 word for word.
Here is a geometry-optimized BaLi2PO structure from Alexandria. Energies are from PBE.

- Fermi-level density of states (states/eV/cell) = 4.1
- DFT total energy (eV for the cell shown) = -19.26
- ρ (g/cm³) = 3.10

a b c (Å): 4.335 4.335 5.655
angles (deg): 90.00 90.00 90.00
Fractional coordinates of all 5 atoms:
Ba: 0.000 0.000 0.000
Li: 0.000 0.500 0.500
Li: 0.500 0.000 0.500
P: 0.500 0.500 0.000
O: 0.500 0.500 0.500


Q: What is the DFT total energy in the third record?
A: -19.26 eV for the cell shown


Q: Number 2 is which compound?
A: BaLiP2O6